No. 1
Compound: KPt2W
Source: Alexandria
Functional: PBEsol
Structure: optimized geometry

a = 2.832 Å, b = 2.832 Å, c = 10.159 Å
α = 81.99°, β = 81.99°, γ = 60.00°
Positions (direct):
Pt: 0.240 0.240 0.281
Pt: 0.760 0.760 0.719
W: 0.500 0.500 0.500
K: 0.000 0.000 0.000

**E_tot**: -27.8 eV/cell
**SG**: R-3m, No. 166
**Formation enthalpy at 0 K**: 1.1 eV per formula unit
**Crystal system**: trigonal

***

No. 2
Compound: K2YPt
Source: Alexandria
Functional: PBEsol
Structure: optimized geometry

a = 3.425 Å, b = 5.741 Å, c = 6.550 Å
α = 115.99°, β = 90.00°, γ = 90.00°
Positions (direct):
K: 0.000 0.000 0.500
K: 0.000 0.500 0.500
Y: 0.500 0.500 0.000
Pt: 0.500 0.000 0.000

**Energy above the lowest structure with this stoichiometry**: 0 meV/atom
**E_tot**: -14.3 eV/cell
**SG**: Cmmm, No. 65
**Formation enthalpy at 0 K**: 1.8 eV per formula unit
**Crystal system**: orthorhombic

***

No. 3
Compound: K2YPt
Source: Alexandria
Functional: PBEsol
Structure: optimized geometry

a = 3.314 Å, b = 3.314 Å, c = 12.376 Å
α = 82.31°, β = 82.31°, γ = 60.00°
Positions (direct):
K: 0.234 0.234 0.299
K: 0.766 0.766 0.701
Pt: 0.500 0.500 0.500
Y: 0.000 0.000 0.000

**Energy above the lowest structure with this stoichiometry**: 98 meV/atom
**E_tot**: -13.9 eV/cell
**SG**: R-3m, No. 166
**Formation enthalpy at 0 K**: 2.1 eV per formula unit
**Crystal system**: trigonal

***

No. 4
Compound: KZnPt2
Source: Alexandria
Functional: PBEsol
Structure: optimized geometry

a = 4.196 Å, b = 4.196 Å, c = 4.952 Å
α = 115.07°, β = 115.07°, γ = 90.00°
Positions (direct):
K: 0.250 0.750 0.500
Zn: 0.500 0.500 0.000
Pt: 0.000 0.000 0.000
Pt: 0.750 0.250 0.500

**E_tot**: -15.2 eV/cell
**SG**: I-4m2, No. 119
**Formation enthalpy at 0 K**: 1.5 eV per formula unit
**Crystal system**: tetragonal

***

No. 5
Compound: KZn2Pt
Source: Alexandria
Functional: PBEsol
Structure: optimized geometry

a = 2.795 Å, b = 3.790 Å, c = 7.382 Å
α = 90.00°, β = 90.00°, γ = 90.00°
Positions (direct):
Pt: 0.500 0.500 0.500
K: 0.500 0.500 0.000
Zn: 0.000 0.000 0.672
Zn: 0.000 0.000 0.328

**E_tot**: -11.6 eV/cell
**SG**: Pmmm, No. 47
**Formation enthalpy at 0 K**: -0.4 eV per formula unit
**Crystal system**: orthorhombic

***

No. 6
Compound: KZnPt2
Source: Alexandria
Functional: PBEsol
Structure: optimized geometry

a = 2.910 Å, b = 2.910 Å, c = 9.511 Å
α = 81.20°, β = 81.20°, γ = 60.00°
Positions (direct):
Pt: 0.764 0.764 0.709
Pt: 0.236 0.236 0.291
Zn: 0.500 0.500 0.500
K: 0.000 0.000 0.000

**E_tot**: -16.7 eV/cell
**SG**: R-3m, No. 166
**Formation enthalpy at 0 K**: 0.0 eV per formula unit
**Crystal system**: trigonal

***

No. 7
Compound: KZrPt
Source: Alexandria
Functional: PBEsol
Structure: optimized geometry

a = 4.713 Å, b = 4.713 Å, c = 4.713 Å
α = 60.00°, β = 60.00°, γ = 60.00°
Positions (direct):
Pt: 0.250 0.250 0.250
K: 0.500 0.500 0.500
Zr: 0.000 0.000 0.000

**Energy above the lowest structure with this stoichiometry**: 406 meV/atom
**E_tot**: -15.9 eV/cell
**SG**: F-43m, No. 216
**Formation enthalpy at 0 K**: 1.3 eV per formula unit
**Crystal system**: cubic

***

No. 8
Compound: KZrPt2
Source: Alexandria
Functional: PBEsol
Structure: optimized geometry

a = 3.305 Å, b = 3.305 Å, c = 7.972 Å
α = 90.00°, β = 90.00°, γ = 90.00°
Positions (direct):
Zr: 0.500 0.500 0.000
K: 0.500 0.500 0.500
Pt: 0.000 0.000 0.815
Pt: 0.000 0.000 0.185

**E_tot**: -26.3 eV/cell
**SG**: P4/mmm, No. 123
**Formation enthalpy at 0 K**: -2.2 eV per formula unit
**Crystal system**: tetragonal

***

Question: Which formula does entry 5 have?
Answer: KZn2Pt

***

Question: Which of these has the lowest formation enthalpy at 0 K?
Answer: KZrPt2